No. 1
Compound: KTlTe4As2
Source: Alexandria
Functional: PBE
Structure: relaxed

CIF file:
```
data_KTlTe4As2
_chemical_formula_sum 'K2 Tl2 Te8 As4'
_space_group_name_H-M_alt 'I 2 2 2'
_space_group_IT_number 23
_space_group_name_Hall 'I 2 2'
_cell_length_a 7.582
_cell_length_b 8.081
_cell_length_c 8.451
_cell_angle_alpha 90.00
_cell_angle_beta 90.00
_cell_angle_gamma 90.00
loop_
_atom_site_label
_atom_site_type_symbol
_atom_site_fract_x
_atom_site_fract_y
_atom_site_fract_z
K1 K 0.000 0.000 0.000
Tl1 Tl 0.000 0.000 0.500
Te1 Te 0.234 0.209 0.696
As1 As 0.000 0.500 0.341
```

Crystal system ... orthorhombic
Formation energy (no corrections) ... -135 meV per atom

***

No. 2
Compound: KTlTe3As
Source: Alexandria
Functional: PBE
Structure: relaxed

CIF file:
```
data_KTlTe3As
_chemical_formula_sum 'K2 Tl2 Te6 As2'
_space_group_name_H-M_alt 'P 1 21/m 1'
_space_group_IT_number 11
_space_group_name_Hall '-P 2yb'
_cell_length_a 8.179
_cell_length_b 4.762
_cell_length_c 12.179
_cell_angle_alpha 90.00
_cell_angle_beta 95.76
_cell_angle_gamma 90.00
loop_
_atom_site_label
_atom_site_type_symbol
_atom_site_fract_x
_atom_site_fract_y
_atom_site_fract_z
K1 K 0.224 0.250 0.173
Tl1 Tl 0.243 0.750 0.561
Te1 Te 0.025 0.250 0.701
Te2 Te 0.384 0.750 0.940
Te3 Te 0.476 0.750 0.334
As1 As 0.314 0.250 0.814
```

Crystal system ... monoclinic
Formation energy (no corrections) ... -336 meV per atom

***

No. 3
Compound: KTl2Te4As
Source: Alexandria
Functional: PBE
Structure: relaxed

CIF file:
```
data_KTl2Te4As
_chemical_formula_sum 'K4 Tl8 Te16 As4'
_space_group_name_H-M_alt 'I m m a'
_space_group_IT_number 74
_space_group_name_Hall '-I 2b 2'
_cell_length_a 9.091
_cell_length_b 9.098
_cell_length_c 12.950
_cell_angle_alpha 90.00
_cell_angle_beta 90.00
_cell_angle_gamma 90.00
loop_
_atom_site_label
_atom_site_type_symbol
_atom_site_fract_x
_atom_site_fract_y
_atom_site_fract_z
K1 K 0.000 0.000 0.000
Tl1 Tl 0.000 0.000 0.500
Tl2 Tl 0.250 0.250 0.250
Te1 Te 0.000 0.032 0.743
Te2 Te 0.228 0.250 0.518
As1 As 0.250 0.250 0.750
```

Crystal system ... orthorhombic
Formation energy (no corrections) ... -214 meV per atom

***

What did we get for final energy? Answer: -52.81; -39.11; -99.04 eV for the cell shown, in the order shown.
What did we get for spin magnetization? Answer: 0.00; 0.00; 0.00 Bohr magnetons per cell, in the order shown.